VASP calculation (PBE-GGA) on an optimized crystal structure of Mg2FeAs.

Lattice parameters (Å, degrees): 10.7437 3.1312 4.5581 90.00 114.69 90.00
Space group Cm (No. 8)
One atom of each set of equivalent atoms:
Mg 0.0000 0.0000 0.0000 [2 per cell]
Mg 0.2074 0.0000 0.7061 [2 per cell]
Fe 0.4610 0.0000 0.4618 [2 per cell]
As 0.2835 0.5000 0.2822 [2 per cell]

electronic total energy: -16.4 eV per formula unit
calculated formation energy: -0.03 eV per atom
DOS at the Fermi energy: 4.95 states/eV/cell
calculated volume: 139.3 Å³/cell